Compound: RuSF3
Source: Alexandria via LeMat-Bulk
Functional: PBEsol
Structure: relaxed

Results
Symmetry: No. 221

Cell lengths 4.0797, 4.0797, 4.0797 Å; angles 90.00, 90.00, 90.00 degrees
Last column: nearest neighbours and their distance in Å.
Atoms (fractional coordinates):
Ru1 0.0000 0.0000 0.0000  6 F 2.04
S1 0.5000 0.5000 0.5000  12 F 2.88
F1 0.0000 0.5000 0.0000  2 Ru 2.04
F2 0.0000 0.0000 0.5000  2 Ru 2.04
F3 0.5000 0.0000 0.0000  2 Ru 2.04

---

Compound: Al2HgBr
Source: Alexandria via LeMat-Bulk
Functional: PBEsol
Structure: relaxed

Results
Symmetry: No. 25
Offset from the most stable computed form (kJ per mole of atoms): 1.4

Cell lengths 3.3506, 4.6226, 5.4529 Å; angles 90.00, 90.00, 90.00 degrees
Last column: nearest neighbours and their distance in Å.
Atoms (fractional coordinates):
Hg1 0.8744 0.5000 0.5000  6 Al 2.73-2.86
Br1 0.3748 0.0000 0.0000  6 Al 2.73-2.86
Al1 0.8768 0.5000 0.0000  2 Hg 2.73, 4 Br 2.85-2.86
Al2 0.3740 0.0000 0.5000  2 Br 2.73, 4 Hg 2.85-2.86

---

Compound: NaBTe2I
Source: Alexandria via LeMat-Bulk
Functional: PBEsol
Structure: relaxed

Results
Symmetry: No. 123

Cell lengths 5.4047, 5.4047, 5.6786 Å; angles 90.00, 90.00, 90.00 degrees
Last column: nearest neighbours and their distance in Å.
Atoms (fractional coordinates):
I1 0.0000 0.0000 0.5000  2 Na 2.84
Na1 0.0000 0.0000 0.0000  4 Te 2.70, 2 I 2.84
B1 0.5000 0.5000 0.5000  4 I 3.82, 8 Te 3.92
Te1 0.0000 0.5000 0.0000  2 Na 2.70
Te2 0.5000 0.0000 0.0000  2 Na 2.70

---

Compound: CuTe3Pb
Source: Alexandria via LeMat-Bulk
Functional: PBEsol
Structure: relaxed

Results
Symmetry: No. 221

Cell lengths 5.1416, 5.1416, 5.1416 Å; angles 90.00, 90.00, 90.00 degrees
Last column: nearest neighbours and their distance in Å.
Atoms (fractional coordinates):
Pb1 0.5000 0.5000 0.5000  12 Te 3.64
Te1 0.0000 0.5000 0.0000  2 Cu 2.57
Te2 0.0000 0.0000 0.5000  2 Cu 2.57
Te3 0.5000 0.0000 0.0000  2 Cu 2.57
Cu1 0.0000 0.0000 0.0000  6 Te 2.57

---

E_form (uncorrected) (eV per atom)
-0.441, -0.034, 1.355, 0.133